# AlCd2Si | the Alexandria database | PBE-GGA | optimized geometry
# final energy: -2.440 eV per atom
# spin magnetization: 0.0 μB/cell
# E above lowest polymorph: 109.5 meV/atom
# raw formation energy: 309 meV per atom
data_AlCd2Si
_symmetry_space_group_name_H-M 'P 1'
_symmetry_Int_Tables_number 1
_cell_length_a 5.529
_cell_length_b 5.529
_cell_length_c 5.529
_cell_angle_alpha 136.28
_cell_angle_beta 136.28
_cell_angle_gamma 63.55
loop_
_symmetry_equiv_pos_as_xyz
'x,y,z'
loop_
_atom_site_label
_atom_site_type_symbol
_atom_site_fract_x
_atom_site_fract_y
_atom_site_fract_z
_atom_site_occupancy
Si1 Si 0.250 0.750 0.500 1
Al1 Al 0.750 0.250 0.500 1
Cd1 Cd 0.000 0.000 0.000 1
Cd2 Cd 0.500 0.500 0.000 1